1.
## Ca2Tl (SCAN)

Data for a crystal of Ca2Tl relaxed with PBEsol.

As for the density of states at the Fermi level: 94.4 states/eV/cell. Its formation energy is -438 meV/atom. The value obtained for the total energy is -30.9993 eV per atom. The spin magnetization is 0.04 μB/f.u.

The space group is Fd-3m (No. 227, origin choice 2) and the conventional cell measures 14.5003, 14.5003 and 14.5003 Å, with angles of 90.00, 90.00 and 90.00 degrees. Symmetry generates all atoms from Ca at (0.0000, 0.0000, 0.0000), Ca at (0.0717, 0.3750, 0.8750) and Tl at (0.0316, 0.0316, 0.2184).

***

2.
## Y2Zn17 (SCAN)

Data for a crystal of Y2Zn17 relaxed with PBEsol.

As for the density of states at the Fermi level: 9.9 states/eV/cell. Its formation energy is -312 meV/atom. The value obtained for the total energy is -15.3351 eV per atom. The spin magnetization is 0.00 μB/f.u.

The space group is P6_3/mmc (No. 194) and the conventional cell measures 8.7906, 8.7906 and 8.6095 Å, with angles of 90.00, 90.00 and 120.00 degrees. Symmetry generates all atoms from Y at (0.0000, 0.0000, 0.2500), Y at (0.3333, 0.6667, 0.2500), Zn at (0.0000, 0.5000, 0.0000), Zn at (0.0385, 0.3673, 0.7500), Zn at (0.1619, 0.3239, 0.0210) and Zn at (0.3333, 0.6667, 0.6016).

***

3.
## La2YZn (SCAN)

Data for a crystal of La2YZn relaxed with PBEsol.

As for the density of states at the Fermi level: 4.4 states/eV/cell. Its formation energy is -193 meV/atom. The calculation puts the energy relative to the lowest polymorph listed for this composition at 0.00 eV/f.u. The value obtained for the total energy is -32.0850 eV per atom. The spin magnetization is 0.00 μB/f.u.

The space group is P4mm (No. 99) and the conventional cell measures 3.6180, 3.6180 and 8.5826 Å, with angles of 90.00, 90.00 and 90.00 degrees. Symmetry generates all atoms from La at (0.0000, 0.0000, 0.0000), La at (0.5000, 0.5000, 0.2961), Y at (0.0000, 0.0000, 0.5874) and Zn at (0.5000, 0.5000, 0.7742).

***

4.
## BaCa2As2 (SCAN)

Data for a crystal of BaCa2As2 relaxed with PBEsol.

As for the density of states at the Fermi level: 4.5 states/eV/cell. Its formation energy is -910 meV/atom. The value obtained for the total energy is -20.7618 eV per atom. The spin magnetization is 0.08 μB/f.u.

The space group is I4/mmm (No. 139) and the conventional cell measures 5.5156, 5.5156 and 10.5392 Å, with angles of 90.00, 90.00 and 90.00 degrees. Symmetry generates all atoms from Ba at (0.0000, 0.0000, 0.0000), Ca at (0.0000, 0.0000, 0.3214) and As at (0.0000, 0.5000, 0.2500).

***

5.
## HfZrPd2 (SCAN)

Data for a crystal of HfZrPd2 relaxed with PBEsol.

As for the density of states at the Fermi level: 14.3 states/eV/cell. Its formation energy is -673 meV/atom. The value obtained for the total energy is -40.4036 eV per atom. The spin magnetization is 0.00 μB/f.u.

The space group is Fm-3m (No. 225) and the conventional cell measures 6.5779, 6.5779 and 6.5779 Å, with angles of 90.00, 90.00 and 90.00 degrees. Symmetry generates all atoms from Hf at (0.0000, 0.0000, 0.0000), Zr at (0.0000, 0.0000, 0.5000) and Pd at (0.2500, 0.2500, 0.2500).

***

6.
## ScMo5 (SCAN)

Data for a crystal of ScMo5 relaxed with PBEsol.

As for the density of states at the Fermi level: 7.4 states/eV/cell. Its formation energy is 35 meV/atom. The calculation puts the energy relative to the lowest polymorph listed for this composition at 0.00 eV/f.u. The value obtained for the total energy is -31.4090 eV per atom. The spin magnetization is 0.00 μB/f.u.

The space group is C2/m (No. 12) and the conventional cell measures 10.0644, 3.1487 and 6.3142 Å, with angles of 90.00, 108.53 and 90.00 degrees. Symmetry generates all atoms from Sc at (0.0000, 0.0000, 0.0000), Mo at (0.0000, 0.0000, 0.5000), Mo at (0.1728, 0.5000, 0.3432) and Mo at (0.1725, 0.5000, 0.8301).